(1)
Here is crystalline InCuNiPt at its relaxed geometry from OQMD via LeMat-Bulk. Energies are from PBE.

Cell lengths 6.1863, 6.1863, 6.1863 Å; angles 90.00, 90.00, 90.00 degrees
Space group F-43m (No. 216)
Symmetry-distinct sites (fractional):
In (0.0000, 0.0000, 0.0000) x4
Cu (0.0000, 0.0000, 0.5000) x4
Ni (0.2500, 0.2500, 0.2500) x4
Pt (0.2500, 0.2500, 0.7500) x4

Total magnetic moment ... 0.0003 μB/atom

***

(2)
Here is crystalline Zr2In2Cu2NiPt at its relaxed geometry from OQMD via LeMat-Bulk. Energies are from PBE.

Cell lengths 4.5585, 4.5585, 6.4642 Å; angles 90.00, 90.00, 90.00 degrees
Space group P-4m2 (No. 115)
Symmetry-distinct sites (fractional):
Zr (0.0000, 0.5000, 0.2429) x2
In (0.0000, 0.5000, 0.7588) x2
Cu (0.0000, 0.0000, 0.0000) x1
Cu (0.5000, 0.5000, 0.5000) x1
Ni (0.5000, 0.5000, 0.0000) x1
Pt (0.0000, 0.0000, 0.5000) x1

Total magnetic moment ... 0.0005 μB/atom

***

(3)
Here is crystalline InCuReNi at its relaxed geometry from OQMD via LeMat-Bulk. Energies are from PBE.

Cell lengths 6.1370, 6.1370, 6.1370 Å; angles 90.00, 90.00, 90.00 degrees
Space group F-43m (No. 216)
Symmetry-distinct sites (fractional):
In (0.0000, 0.0000, 0.0000) x4
Cu (0.2500, 0.2500, 0.2500) x4
Re (0.0000, 0.0000, 0.5000) x4
Ni (0.2500, 0.2500, 0.7500) x4

Total magnetic moment ... 0.5159 μB/atom

***

DFT total energy for the records above, in order: -75.314 -45.285 -91.102 eV for the cell shown